1.
RbNiAsBr2 | PBE-GGA | relaxed

Results
Its total magnetic moment is 0.0 μB/f.u. The value obtained for the raw formation energy is -215 kJ/mol of formula units. The relative energy among the computed polymorphs is 0 meV per atom.

Lattice parameters (Å, degrees): 5.571 5.571 4.422 90.00 90.00 90.00
Space group P4/mmm (No. 123)
One atom of each set of equivalent atoms:
Rb: 0.000 0.000 0.000 [1 per cell]
Ni: 0.500 0.500 0.500 [1 per cell]
As: 0.500 0.500 0.000 [1 per cell]
Br: 0.000 0.500 0.500 [2 per cell]


2.
TaBePt2 | PBE-GGA | relaxed

Results
Its total magnetic moment is 0.0 μB/f.u. For the calculated formation energy, the calculation gives -0.476 eV per atom.

Lattice parameters (Å, degrees): 2.823 4.430 4.879 90.00 90.48 90.00
Space group Pm (No. 6)
One atom of each set of equivalent atoms:
Ta: 0.000 0.000 0.000 [1 per cell]
Be: 0.516 0.500 0.304 [1 per cell]
Pt: 0.495 0.500 0.823 [1 per cell]
Pt: 0.500 0.000 0.473 [1 per cell]


3.
Cu2W2N | PBE-GGA | relaxed

Results
Its total magnetic moment is 0.0 μB/f.u. The value obtained for the raw formation energy is 511 kJ/mol of formula units. The relative energy among the computed polymorphs is 904 meV per atom.

Lattice parameters (Å, degrees): 3.070 3.070 13.787 90.00 90.00 90.00
Space group I4/mmm (No. 139)
One atom of each set of equivalent atoms:
Cu: 0.000 0.500 0.250 [4 per cell]
W: 0.000 0.000 0.089 [4 per cell]
N: 0.000 0.000 0.500 [2 per cell]